A relaxed structure of CePm2PrHo5. Source: the Alexandria database, functional PBE.

Computed properties:
DFT total energy = -81.42 eV/cell
Calculated density = 7.925 g cm⁻³
SG = I4/mcm, No. 140
M_tot = 0.12 μB per atom
Formation energy from the elements = 6.130 kcal/mol of atoms

Lattice parameters (Å, degrees): 9.8784 9.8784 9.8784 127.76 127.76 77.02
Positions (direct):
1 Ce 0.2500 0.7500 0.5000
2 Ce 0.7500 0.2500 0.5000
3 Pm 0.1191 0.6191 0.7381
4 Pm 0.3809 0.1191 0.5000
5 Pm 0.6191 0.8809 0.5000
6 Pm 0.8809 0.3809 0.2619
7 Pr 0.2500 0.2500 0.0000
8 Pr 0.7500 0.7500 0.0000
9 Ho 0.0000 0.0000 0.0000
10 Ho 0.0657 0.1589 0.5000
11 Ho 0.1589 0.6589 0.0932
12 Ho 0.3411 0.4343 0.5000
13 Ho 0.4343 0.9343 0.0932
14 Ho 0.5000 0.5000 0.0000
15 Ho 0.5657 0.0657 0.9068
16 Ho 0.6589 0.5657 0.5000
17 Ho 0.8411 0.3411 0.9068
18 Ho 0.9343 0.8411 0.5000